No. 1
DFT (PBE-GGA) results for YZrS2O after structural relaxation.

The structure in POSCAR format:
```
YZrS2O
1.0
5.993 -1.780 0.000
5.993 1.780 0.000
-0.624 0.000 8.493
Y Zr S O
2 2 4 2
direct
0.238 0.238 0.303 Y
0.762 0.762 0.697 Y
0.000 0.000 0.000 Zr
0.500 0.500 0.500 Zr
0.074 0.074 0.714 S
0.352 0.352 0.924 S
0.648 0.648 0.076 S
0.926 0.926 0.286 S
0.334 0.334 0.562 O
0.666 0.666 0.438 O
```

Results
Electronic total energy in eV/cell: -79.20
Density in g/cm3: 4.77

---

No. 2
DFT (PBE-GGA) results for CuAg9 after structural relaxation.

The structure in POSCAR format:
```
CuAg9
1.0
10.115 -1.474 0.000
10.115 1.474 0.000
-0.861 0.000 5.835
Cu Ag
1 9
direct
0.000 0.000 0.000 Cu
0.000 0.000 0.500 Ag
0.197 0.197 0.598 Ag
0.199 0.199 0.100 Ag
0.405 0.405 0.194 Ag
0.405 0.405 0.711 Ag
0.595 0.595 0.289 Ag
0.595 0.595 0.806 Ag
0.801 0.801 0.900 Ag
0.803 0.803 0.402 Ag
```

Results
Electronic total energy in eV/cell: -28.87
Calculated formation energy in kJ per mole of atoms: 2.6
Density in g/cm3: 9.87
Excess energy over the best structure of this formula in the dataset in eV/f.u.: 0.09